P.
## Pa2NiAu (GGA-PBE)

Data for a relaxed structure of Pa2NiAu.

The structure belongs to space group Fm-3m (No. 225); the cell edges are 6.9708, 6.9708 and 6.9708 Å and the angles 90.00°, 90.00° and 90.00°. The asymmetric unit holds Pa at (0.2500, 0.2500, 0.2500), Ni at (0.0000, 0.0000, 0.0000) and Au at (0.0000, 0.0000, 0.5000).

For the magnetization, the calculation gives 0.02 μB/f.u.

Q.
## Pa2NiAu (GGA-PBE)

Data for a relaxed structure of Pa2NiAu.

The structure belongs to space group P4/mmm (No. 123); the cell edges are 4.3897, 4.3897 and 4.2270 Å and the angles 90.00°, 90.00° and 90.00°. The asymmetric unit holds Pa at (0.0000, 0.5000, 0.0000), Ni at (0.0000, 0.0000, 0.5000) and Au at (0.5000, 0.5000, 0.5000).

For the magnetization, the calculation gives 0.00 μB/f.u.

R.
## Pa2NiAu (GGA-PBE)

Data for a relaxed structure of Pa2NiAu.

The structure belongs to space group P4/mmm (No. 123); the cell edges are 3.4983, 3.4983 and 6.8027 Å and the angles 90.00°, 90.00° and 90.00°. The asymmetric unit holds Pa at (0.0000, 0.0000, 0.2115), Ni at (0.5000, 0.5000, 0.0000) and Au at (0.5000, 0.5000, 0.5000).

For the magnetization, the calculation gives 0.00 μB/f.u.

S.
## Pa2NiAu (GGA-PBE)

Data for a relaxed structure of Pa2NiAu.

The structure belongs to space group R-3m (No. 166, hexagonal axes); the cell edges are 3.1420, 3.1420 and 30.5237 Å and the angles 90.00°, 90.00° and 120.00°. The asymmetric unit holds Pa at (0.0000, 0.0000, 0.0980), Ni at (0.0000, 0.0000, 0.5000) and Au at (0.0000, 0.0000, 0.0000).

For the magnetization, the calculation gives 0.00 μB/f.u.

How do the energies compare? Relative to the most stable structure, in kJ/mol of atoms: P 10.9; Q 1.6; R 0.0; S 37.3.

P.
## PaNiAu2 (GGA-PBE)

Data for a relaxed structure of PaNiAu2.

The structure belongs to space group P4/mmm (No. 123); the cell edges are 3.3193, 3.3193 and 6.7058 Å and the angles 90.00°, 90.00° and 90.00°. The asymmetric unit holds Pa at (0.0000, 0.0000, 0.0000), Ni at (0.0000, 0.0000, 0.5000) and Au at (0.5000, 0.5000, 0.2915).

For the magnetization, the calculation gives 0.00 μB/f.u.

Q.
## PaNiAu2 (GGA-PBE)

Data for a relaxed structure of PaNiAu2.

The structure belongs to space group Cmcm (No. 63); the cell edges are 3.9503, 9.6017 and 7.8679 Å and the angles 90.00°, 90.00° and 90.00°. The asymmetric unit holds Pa at (0.0000, 0.0640, 0.2500), Ni at (0.0000, 0.2458, 0.7500) and Au at (0.0000, 0.3614, 0.0595).

For the magnetization, the calculation gives 0.00 μB/f.u.

R.
## PaNiAu2 (GGA-PBE)

Data for a relaxed structure of PaNiAu2.

The structure belongs to space group R-3m (No. 166, hexagonal axes); the cell edges are 4.4855, 4.4855 and 13.5603 Å and the angles 90.00°, 90.00° and 120.00°. The asymmetric unit holds Pa at (0.0000, 0.0000, 0.0000), Ni at (0.0000, 0.0000, 0.5000) and Au at (0.0000, 0.0000, 0.2260).

For the magnetization, the calculation gives 0.00 μB/f.u.

How do the energies compare? Relative to the most stable structure, in kJ/mol of atoms: P 27.0; Q 0.0; R 23.8.

P.
## NiPbAu (GGA-PBE)

Data for a relaxed structure of NiPbAu.

The structure belongs to space group Ama2 (No. 40); the cell edges are 4.2284, 8.9023 and 6.3311 Å and the angles 90.00°, 90.00° and 90.00°. The asymmetric unit holds Ni at (0.2500, 0.0950, 0.0000), Pb at (0.2500, 0.3395, 0.2518) and Au at (0.2500, 0.3891, 0.7972).

For the magnetization, the calculation gives 0.00 μB/f.u.

Q.
## NiPbAu (GGA-PBE)

Data for a relaxed structure of NiPbAu.

The structure belongs to space group Ima2 (No. 46); the cell edges are 5.3580, 6.5177 and 6.4610 Å and the angles 90.00°, 90.00° and 90.00°. The asymmetric unit holds Ni at (0.0000, 0.0000, 0.0000), Pb at (0.2500, 0.1663, 0.3486) and Au at (0.2500, 0.6756, 0.1802).

For the magnetization, the calculation gives 0.00 μB/f.u.

How do the energies compare? Relative to the most stable structure, in kJ/mol of atoms: P 0.0; Q 1.2.

P.
## Ni2Pb2Au (GGA-PBE)

Data for a relaxed structure of Ni2Pb2Au.

The structure belongs to space group I4/mmm (No. 139); the cell edges are 3.4656, 3.4656 and 16.7448 Å and the angles 90.00°, 90.00° and 90.00°. The asymmetric unit holds Ni at (0.0000, 0.5000, 0.2500), Pb at (0.0000, 0.0000, 0.1198) and Au at (0.0000, 0.0000, 0.5000).

For the magnetization, the calculation gives 0.00 μB/f.u.

Q.
## Ni2Pb2Au (GGA-PBE)

Data for a relaxed structure of Ni2Pb2Au.

The structure belongs to space group P4/mbm (No. 127); the cell edges are 7.0407, 7.0407 and 3.7646 Å and the angles 90.00°, 90.00° and 90.00°. The asymmetric unit holds Ni at (0.1298, 0.3702, 0.0000), Pb at (0.1698, 0.6698, 0.5000) and Au at (0.0000, 0.0000, 0.0000).

For the magnetization, the calculation gives 0.00 μB/f.u.

How do the energies compare? Relative to the most stable structure, in kJ/mol of atoms: P 9.9; Q 0.0.

P.
## NiPd5Au4 (GGA-PBE)

Data for a relaxed structure of NiPd5Au4.

The structure belongs to space group Pmmn (No. 59, origin choice 2); the cell edges are 8.1056, 9.0206 and 4.7336 Å and the angles 90.00°, 90.00° and 90.00°. The asymmetric unit holds Ni at (0.2500, 0.2500, 0.2431), Pd at (0.0846, 0.0023, 0.2403), Pd at (0.2500, 0.7500, 0.0553), Au at (0.0684, 0.7500, 0.5637) and Au at (0.2500, 0.0890, 0.7457).

For the magnetization, the calculation gives 1.51 μB/f.u.

Q.
## NiPd5Au4 (GGA-PBE)

Data for a relaxed structure of NiPd5Au4.

The structure belongs to space group P4/mmm (No. 123); the cell edges are 2.8461, 2.8461 and 19.7974 Å and the angles 90.00°, 90.00° and 90.00°. The asymmetric unit holds Ni at (0.0000, 0.0000, 0.0000), Pd at (0.5000, 0.5000, 0.0830), Pd at (0.5000, 0.5000, 0.2920), Pd at (0.5000, 0.5000, 0.5000), Au at (0.0000, 0.0000, 0.1882) and Au at (0.0000, 0.0000, 0.3960).

For the magnetization, the calculation gives 1.23 μB/f.u.

How do the energies compare? Relative to the most stable structure, in kJ/mol of atoms: P 18.1; Q 0.0.

P.
## NiPd3Au (GGA-PBE)

Data for a relaxed structure of NiPd3Au.

The structure belongs to space group P-1 (No. 2); the cell edges are 4.0431, 6.2286 and 6.9875 Å and the angles 69.94°, 73.19° and 89.93°. The asymmetric unit holds Ni at (0.0476, 0.2015, 0.4058), Pd at (0.1118, 0.6455, 0.2765), Pd at (0.2256, 0.1280, 0.0485), Pd at (0.4226, 0.0889, 0.6556) and Au at (0.3302, 0.6050, 0.8396).

For the magnetization, the calculation gives 1.63 μB/f.u.

Q.
## NiPd3Au (GGA-PBE)

Data for a relaxed structure of NiPd3Au.

The structure belongs to space group Pm-3m (No. 221); the cell edges are 4.5419, 4.5419 and 4.5419 Å and the angles 90.00°, 90.00° and 90.00°. The asymmetric unit holds Ni at (0.0000, 0.0000, 0.0000), Pd at (0.0000, 0.0000, 0.5000) and Au at (0.5000, 0.5000, 0.5000).

For the magnetization, the calculation gives 0.58 μB/f.u.

How do the energies compare? Relative to the most stable structure, in kJ/mol of atoms: P 0.0; Q 63.7.